1.
Material: SrZr2Os
Method: DFT, PBE
State: optimized geometry

M_tot in μB per cell: 0.00
Energy relative to the lowest polymorph listed for this composition in meV per atom: 164
ρ in g cm⁻³: 7.9
Formation enthalpy at 0 K in eV per formula unit: 0.91

a = 3.496 Å, b = 4.923 Å, c = 11.299 Å
α = 90.00°, β = 90.00°, γ = 90.00°
Space group Imm2 (No. 44)
One atom of each set of equivalent atoms:
Sr1 0.000 0.000 0.000 [2 per cell]
Zr1 0.000 0.000 0.603 [2 per cell]
Zr2 0.000 0.500 0.788 [2 per cell]
Os1 0.000 0.500 0.270 [2 per cell]

2.
Material: SrZr2Os
Method: DFT, PBE
State: optimized geometry

M_tot in μB per cell: 0.00
Energy relative to the lowest polymorph listed for this composition in meV per atom: 17
ρ in g cm⁻³: 7.5
Formation enthalpy at 0 K in eV per formula unit: 0.32

a = 3.232 Å, b = 3.231 Å, c = 9.720 Å
α = 90.00°, β = 90.07°, γ = 90.00°
Space group P2/m (No. 10)
One atom of each set of equivalent atoms:
Sr1 0.000 0.000 0.000 [1 per cell]
Zr1 0.499 0.500 0.671 [2 per cell]
Os1 0.000 0.000 0.500 [1 per cell]

3.
Material: SrZr2Os2
Method: DFT, PBE
State: optimized geometry

M_tot in μB per cell: 0.00
ρ in g cm⁻³: 10.2
Formation enthalpy at 0 K in eV per formula unit: -0.05

a = 8.114 Å, b = 8.114 Å, c = 3.226 Å
α = 90.00°, β = 90.00°, γ = 90.00°
Space group P4/mbm (No. 127)
One atom of each set of equivalent atoms:
Sr1 0.000 0.000 0.000 [2 per cell]
Zr1 0.142 0.358 0.500 [4 per cell]
Os1 0.143 0.643 0.000 [4 per cell]

VASP energy, record by record: -7.27; -7.42; -8.26 eV per atom